1.
Density functional theory data (PBE-GGA) for crystalline MoP2Rh at its relaxed geometry.

Cell and atoms, written as CIF:
```
data_MoP2Rh
_space_group_name_H-M_alt 'R 3 m'
_space_group_IT_number 160
_space_group_name_Hall 'R 3 -2"'
_cell_length_a 3.0085
_cell_length_b 3.0085
_cell_length_c 22.1289
_cell_angle_alpha 90.00
_cell_angle_beta 90.00
_cell_angle_gamma 120.00
loop_
_atom_site_label
_atom_site_fract_x
_atom_site_fract_y
_atom_site_fract_z
Mo1 0.0000 0.0000 0.0000
P1 0.0000 0.0000 0.2571
P2 0.0000 0.0000 0.5089
Rh1 0.0000 0.0000 0.7708
```

=====

2.
Density functional theory data (PBE-GGA) for crystalline Mo2PRh at its relaxed geometry.

Cell and atoms, written as CIF:
```
data_Mo2PRh
_space_group_name_H-M_alt 'P 1 2/m 1'
_space_group_IT_number 10
_cell_length_a 2.812
_cell_length_b 3.936
_cell_length_c 5.361
_cell_angle_alpha 90.00
_cell_angle_beta 102.53
_cell_angle_gamma 90.00
loop_
_space_group_symop_operation_xyz
'x,y,z'
'-x,-y,-z'
'-x,y,-z'
'x,-y,z'
loop_
_atom_site_label
_atom_site_fract_x
_atom_site_fract_y
_atom_site_fract_z
Mo1 0.082 0.000 0.264
P1 0.500 0.500 0.500
Rh1 0.500 0.500 0.000
```

=====

3.
Density functional theory data (PBE-GGA) for crystalline MoP2Rh at its relaxed geometry.

Cell and atoms, written as CIF:
```
data_MoP2Rh
_space_group_name_H-M_alt 'I -4 2 d'
_space_group_IT_number 122
_space_group_name_Hall 'I -4 2bw'
_cell_length_a 5.411
_cell_length_b 5.411
_cell_length_c 10.282
_cell_angle_alpha 90.00
_cell_angle_beta 90.00
_cell_angle_gamma 90.00
loop_
_atom_site_label
_atom_site_fract_x
_atom_site_fract_y
_atom_site_fract_z
Mo1 0.000 0.000 0.000
P1 0.241 0.250 0.625
Rh1 0.000 0.000 0.500
```

=====

4.
Density functional theory data (PBE-GGA) for crystalline Mo2PRh at its relaxed geometry.

Cell and atoms, written as CIF:
```
data_Mo2PRh
_space_group_name_H-M_alt 'I -4 2 d'
_space_group_IT_number 122
_space_group_name_Hall 'I -4 2bw'
_cell_length_a 6.923
_cell_length_b 6.923
_cell_length_c 5.171
_cell_angle_alpha 90.00
_cell_angle_beta 90.00
_cell_angle_gamma 90.00
loop_
_atom_site_label
_atom_site_fract_x
_atom_site_fract_y
_atom_site_fract_z
Mo1 0.208 0.750 0.125
P1 0.000 0.000 0.000
Rh1 0.000 0.000 0.500
```

=====

5.
Density functional theory data (PBE-GGA) for crystalline Mo2PRh at its relaxed geometry.

Cell and atoms, written as CIF:
```
data_Mo2PRh
_space_group_name_H-M_alt 'R 3 m'
_space_group_IT_number 160
_space_group_name_Hall 'R 3 -2"'
_cell_length_a 2.8667
_cell_length_b 2.8667
_cell_length_c 24.7951
_cell_angle_alpha 90.00
_cell_angle_beta 90.00
_cell_angle_gamma 120.00
loop_
_atom_site_label
_atom_site_fract_x
_atom_site_fract_y
_atom_site_fract_z
Mo1 0.0000 0.0000 0.0000
Mo2 0.0000 0.0000 0.2401
P1 0.0000 0.0000 0.7412
Rh1 0.0000 0.0000 0.4837
```

=====

6.
Density functional theory data (PBE-GGA) for crystalline MoP2Rh at its relaxed geometry.

Cell and atoms, written as CIF:
```
data_MoP2Rh
_space_group_name_H-M_alt 'R -3 m'
_space_group_IT_number 166
_space_group_name_Hall '-R 3 2"'
_cell_length_a 2.9868
_cell_length_b 2.9868
_cell_length_c 21.8934
_cell_angle_alpha 90.00
_cell_angle_beta 90.00
_cell_angle_gamma 120.00
loop_
_atom_site_label
_atom_site_fract_x
_atom_site_fract_y
_atom_site_fract_z
Mo1 0.0000 0.0000 0.0000
P1 0.0000 0.0000 0.2500
Rh1 0.0000 0.0000 0.5000
```

=====

7.
Density functional theory data (PBE-GGA) for crystalline MoP2Rh at its relaxed geometry.

Cell and atoms, written as CIF:
```
data_MoP2Rh
_space_group_name_H-M_alt 'P 4/m m m'
_space_group_IT_number 123
_space_group_name_Hall '-P 4 2'
_cell_length_a 4.179
_cell_length_b 4.179
_cell_length_c 3.059
_cell_angle_alpha 90.00
_cell_angle_beta 90.00
_cell_angle_gamma 90.00
loop_
_atom_site_label
_atom_site_fract_x
_atom_site_fract_y
_atom_site_fract_z
Mo1 0.000 0.000 0.000
P1 0.000 0.500 0.500
Rh1 0.500 0.500 0.000
```

=====

8.
Density functional theory data (PBE-GGA) for crystalline Mo2PRh at its relaxed geometry.

Cell and atoms, written as CIF:
```
data_Mo2PRh
_space_group_name_H-M_alt 'P 4/m m m'
_space_group_IT_number 123
_space_group_name_Hall '-P 4 2'
_cell_length_a 2.902
_cell_length_b 2.902
_cell_length_c 6.731
_cell_angle_alpha 90.00
_cell_angle_beta 90.00
_cell_angle_gamma 90.00
loop_
_atom_site_label
_atom_site_fract_x
_atom_site_fract_y
_atom_site_fract_z
Mo1 0.000 0.000 0.221
P1 0.500 0.500 0.000
Rh1 0.500 0.500 0.500
```

=====

no.,formation enthalpy at 0 K (eV/atom),D(E_F) (states/eV per cell)
1,-0.146,10.70
2,-0.145,2.65
3,-0.151,17.11
4,0.121,16.63
5,-0.008,11.65
6,-0.232,12.25
7,-0.350,2.64
8,-0.321,2.79